Entry 1:
A geometry-optimized Er3Tm8 structure. Source: Alexandria via LeMat-Bulk, functional GGA-PBE.

energy relative to the lowest polymorph listed for this composition	22.3	kJ/mol of atoms
ΔH_f (0 K)	0.594	eV per atom
space-group type	No. 148

a b c (Å): 7.5204 7.5204 7.5204
angles (deg): 72.97 72.97 72.97
With the nearest neighbours (Å) after each atom.
Fractional coordinates of all 11 atoms:
Er (0.0000, 0.5000, 0.5000)  2 Tm 2.93
Er (0.5000, 0.0000, 0.5000)  2 Tm 2.93
Er (0.5000, 0.5000, 0.0000)  2 Tm 2.93
Tm (0.1395, 0.7560, 0.7518)  5 Tm 3.22-3.56, 3 Er 3.49-3.59
Tm (0.2440, 0.2482, 0.8605)  5 Tm 3.22-3.56, 3 Er 3.49-3.59
Tm (0.2482, 0.8605, 0.2440)  5 Tm 3.22-3.56, 3 Er 3.49-3.59
Tm (0.4179, 0.4179, 0.4179)  1 Tm 2.69, 3 Er 2.93
Tm (0.5821, 0.5821, 0.5821)  1 Tm 2.69, 3 Er 2.93
Tm (0.7518, 0.1395, 0.7560)  5 Tm 3.22-3.56, 3 Er 3.49-3.59
Tm (0.7560, 0.7518, 0.1395)  5 Tm 3.22-3.56, 3 Er 3.49-3.59
Tm (0.8605, 0.2440, 0.2482)  5 Tm 3.22-3.56, 3 Er 3.49-3.59

=====

Entry 2:
A geometry-optimized ErTm structure. Source: Alexandria via LeMat-Bulk, functional GGA-PBE.

energy relative to the lowest polymorph listed for this composition	4.9	kJ/mol of atoms
ΔH_f (0 K)	0.046	eV per atom
space-group type	No. 11

a b c (Å): 3.4626 5.4141 6.6832
angles (deg): 90.00 104.93 90.00
With the nearest neighbours (Å) after each atom.
Fractional coordinates of all 4 atoms:
Er (0.1711, 0.2500, 0.3437)  7 Tm 3.39-3.52, 4 Er 3.46-3.79
Er (0.8289, 0.7500, 0.6563)  7 Tm 3.39-3.52, 4 Er 3.46-3.79
Tm (0.4351, 0.2500, 0.8687)  4 Tm 3.19-3.46, 7 Er 3.39-3.52
Tm (0.5649, 0.7500, 0.1313)  4 Tm 3.19-3.46, 7 Er 3.39-3.52

=====

Entry 3:
A geometry-optimized Er3Tm2 structure. Source: Alexandria via LeMat-Bulk, functional GGA-PBE.

energy relative to the lowest polymorph listed for this composition	4.9	kJ/mol of atoms
ΔH_f (0 K)	0.049	eV per atom
space-group type	No. 43

a b c (Å): 8.8761 6.5743 10.0819
angles (deg): 60.10 39.95 79.95
With the nearest neighbours (Å) after each atom.
Fractional coordinates of all 10 atoms:
Er (0.0000, 0.0000, 0.0000)  6 Tm 3.33-3.57, 4 Er 3.38-3.59
Er (0.2500, 0.2500, 0.2500)  6 Tm 3.33-3.57, 4 Er 3.38-3.59
Er (0.3968, 0.7033, 0.3996)  6 Tm 3.37-3.77, 5 Er 3.38-3.59
Er (0.7033, 0.3968, 0.5003)  6 Tm 3.37-3.77, 5 Er 3.38-3.59
Er (0.7497, 0.8504, 0.5467)  6 Tm 3.37-3.77, 5 Er 3.38-3.59
Er (0.8504, 0.7497, 0.8532)  6 Tm 3.37-3.77, 5 Er 3.38-3.59
Tm (0.1684, 0.4947, 0.9298)  8 Er 3.33-3.57, 2 Tm 3.68
Tm (0.3202, 0.8429, 0.0816)  8 Er 3.33-3.57, 2 Tm 3.68
Tm (0.4947, 0.1684, 0.4071)  8 Er 3.33-3.57, 2 Tm 3.68
Tm (0.8429, 0.3202, 0.7553)  8 Er 3.33-3.57, 2 Tm 3.68

=====

Entry 4:
A geometry-optimized ErTm3 structure. Source: Alexandria via LeMat-Bulk, functional GGA-PBE.

energy relative to the lowest polymorph listed for this composition	3.1	kJ/mol of atoms
ΔH_f (0 K)	0.027	eV per atom
space-group type	No. 221

a b c (Å): 4.9297 4.9297 4.9297
angles (deg): 90.00 90.00 90.00
With the nearest neighbours (Å) after each atom.
Fractional coordinates of all 4 atoms:
Er (0.0000, 0.0000, 0.0000)  12 Tm 3.49
Tm (0.0000, 0.5000, 0.5000)  4 Er 3.49, 8 Tm 3.49
Tm (0.5000, 0.0000, 0.5000)  4 Er 3.49, 8 Tm 3.49
Tm (0.5000, 0.5000, 0.0000)  4 Er 3.49, 8 Tm 3.49

=====

Entry 5:
A geometry-optimized Er3Tm structure. Source: Alexandria via LeMat-Bulk, functional GGA-PBE.

energy relative to the lowest polymorph listed for this composition	0.0	kJ/mol of atoms
ΔH_f (0 K)	-0.003	eV per atom
space-group type	No. 25

a b c (Å): 3.5726 5.5283 6.1875
angles (deg): 90.00 90.00 90.00
With the nearest neighbours (Å) after each atom.
Fractional coordinates of all 4 atoms:
Er (0.0000, 0.0000, 0.0000)  8 Er 3.45-3.57, 4 Tm 3.57
Er (0.0000, 0.5000, 0.3340)  4 Tm 3.45, 8 Er 3.45-3.57
Er (0.5000, 0.5000, 0.8337)  10 Er 3.45-3.57, 2 Tm 3.45
Tm (0.5000, 0.0000, 0.5004)  10 Er 3.45-3.57, 2 Tm 3.57

=====

Entry 6:
A geometry-optimized Er3Tm structure. Source: Alexandria via LeMat-Bulk, functional GGA-PBE.

energy relative to the lowest polymorph listed for this composition	2.7	kJ/mol of atoms
ΔH_f (0 K)	0.025	eV per atom
space-group type	No. 221

a b c (Å): 4.9419 4.9419 4.9419
angles (deg): 90.00 90.00 90.00
With the nearest neighbours (Å) after each atom.
Fractional coordinates of all 4 atoms:
Er (0.0000, 0.0000, 0.5000)  8 Er 3.49, 4 Tm 3.49
Er (0.0000, 0.5000, 0.0000)  8 Er 3.49, 4 Tm 3.49
Er (0.5000, 0.0000, 0.0000)  8 Er 3.49, 4 Tm 3.49
Tm (0.5000, 0.5000, 0.5000)  12 Er 3.49

=====

Entry 7:
A geometry-optimized Er8Tm structure. Source: Alexandria via LeMat-Bulk, functional GGA-PBE.

ΔH_f (0 K)	0.024	eV per atom
space-group type	No. 139

a b c (Å): 7.8213 7.8213 7.8213
angles (deg): 95.71 95.71 143.21
With the nearest neighbours (Å) after each atom.
Fractional coordinates of all 9 atoms:
Er (0.0000, 0.3332, 0.3332)  11 Er 3.49-3.50, 1 Tm 3.50
Er (0.0000, 0.6668, 0.6668)  11 Er 3.49-3.50, 1 Tm 3.50
Er (0.3332, 0.0000, 0.3332)  11 Er 3.49-3.50, 1 Tm 3.50
Er (0.3334, 0.3334, 0.6669)  2 Tm 3.49, 10 Er 3.49-3.50
Er (0.3334, 0.6666, 0.0000)  2 Tm 3.49, 10 Er 3.49-3.50
Er (0.6668, 0.0000, 0.6668)  11 Er 3.49-3.50, 1 Tm 3.50
Er (0.6666, 0.3334, 0.0000)  2 Tm 3.49, 10 Er 3.49-3.50
Er (0.6666, 0.6666, 0.3331)  2 Tm 3.49, 10 Er 3.49-3.50
Tm (0.0000, 0.0000, 0.0000)  12 Er 3.49-3.50

=====

Entry 8:
A geometry-optimized Er13Tm2 structure. Source: Alexandria via LeMat-Bulk, functional GGA-PBE.

energy relative to the lowest polymorph listed for this composition	51.7	kJ/mol of atoms
ΔH_f (0 K)	0.610	eV per atom
space-group type	No. 166

a b c (Å): 9.3246 9.3246 9.3246
angles (deg): 56.02 56.02 56.02
With the nearest neighbours (Å) after each atom.
Fractional coordinates of all 15 atoms:
Er (0.0000, 0.0000, 0.0000)  6 Er 3.70
Er (0.1077, 0.7416, 0.7416)  7 Er 3.21-3.52, 1 Tm 3.42
Er (0.1516, 0.5132, 0.5132)  5 Er 3.12-3.32, 1 Tm 3.25
Er (0.2584, 0.2584, 0.8923)  7 Er 3.21-3.52, 1 Tm 3.42
Er (0.2584, 0.8923, 0.2584)  7 Er 3.21-3.52, 1 Tm 3.42
Er (0.4868, 0.4868, 0.8484)  5 Er 3.12-3.32, 1 Tm 3.25
Er (0.4868, 0.8484, 0.4868)  5 Er 3.12-3.32, 1 Tm 3.25
Er (0.5132, 0.1516, 0.5132)  5 Er 3.12-3.32, 1 Tm 3.25
Er (0.5132, 0.5132, 0.1516)  5 Er 3.12-3.32, 1 Tm 3.25
Er (0.7416, 0.1077, 0.7416)  7 Er 3.21-3.52, 1 Tm 3.42
Er (0.7416, 0.7416, 0.1077)  7 Er 3.21-3.52, 1 Tm 3.42
Er (0.8484, 0.4868, 0.4868)  5 Er 3.12-3.32, 1 Tm 3.25
Er (0.8923, 0.2584, 0.2584)  7 Er 3.21-3.52, 1 Tm 3.42
Tm (0.2588, 0.2588, 0.2588)  6 Er 3.25-3.42
Tm (0.7412, 0.7412, 0.7412)  6 Er 3.25-3.42

=====

| no. | E_tot (eV/f.u.) |
| --- | --- |
| 1 | -42.928 |
| 2 | -8.942 |
| 3 | -22.388 |
| 4 | -17.868 |
| 5 | -18.173 |
| 6 | -18.059 |
| 7 | -40.759 |
| 8 | -59.112 |